Below is a geometry-optimized NdMgRe structure, with properties calculated at the GGA-PBE level.

Unit cell a=4.930 b=4.122 c=10.474 alpha=81.91 beta=76.39 gamma=53.27
Atoms (fractional coordinates):
Mg 0.750 0.500 0.500
Mg 0.250 0.500 0.500
Re 0.821 0.358 0.000
Re 0.179 0.642 0.000
Nd 0.603 0.000 0.793
Nd 0.397 0.000 0.207

Output
Space-group type = Fmmm (69)
Total magnetic moment = 0.00 Bohr magnetons per cell
E = -35.23 eV/cell
E_form = 399 meV/atom
Theoretical density = 7.11 g/cm³
DOS(E_F) = 6.15 states/eV per cell